1.
DFT (PBE) results for a geometry-optimized Fe2RePt structure.

Cell: 3.7995 3.7995 7.3429 Å, 90.00 90.00 90.00°
Space group I4/mmm (No. 139)
One atom of each set of equivalent atoms:
Fe1 0.0000 0.5000 0.2500 x4
Re1 0.0000 0.0000 0.0000 x2
Pt1 0.0000 0.0000 0.5000 x2

***

2.
DFT (PBE) results for a geometry-optimized CeYAlTl structure.

Cell: 7.5230 7.5230 7.5230 Å, 90.00 90.00 90.00°
Space group F-43m (No. 216)
One atom of each set of equivalent atoms:
Ce1 0.0000 0.0000 0.0000 x4
Y1 0.0000 0.0000 0.5000 x4
Al1 0.2500 0.2500 0.7500 x4
Tl1 0.2500 0.2500 0.2500 x4

***

3.
DFT (PBE) results for a geometry-optimized RbTlPb2S4 structure.

Cell: 8.4258 8.7206 12.1311 Å, 90.00 90.00 90.00°
Space group Imma (No. 74)
One atom of each set of equivalent atoms:
Rb1 0.2500 0.2500 0.2500 x4
Tl1 0.0000 0.0000 0.0000 x4
Pb1 0.0000 0.0000 0.5000 x4
Pb2 0.2500 0.2500 0.7500 x4
S1 0.0000 0.0306 0.7455 x8
S2 0.2422 0.2500 0.5139 x8

Output
The value obtained for the formation energy from raw total energies is -3.57 eV per formula unit.

***

4.
DFT (PBE) results for a geometry-optimized Pr3MnN5 structure.

Cell: 6.8062 6.8062 11.1235 Å, 90.00 90.00 90.00°
Space group I4/mcm (No. 140)
One atom of each set of equivalent atoms:
Pr1 0.0000 0.0000 0.2500 x4
Pr2 0.1740 0.3260 0.0000 x8
Mn1 0.0000 0.5000 0.2500 x4
N1 0.0000 0.0000 0.0000 x4
N2 0.1425 0.3575 0.3449 x16

Output
The value obtained for the formation energy from raw total energies is -8.69 eV per formula unit.

***

5.
DFT (PBE) results for a geometry-optimized Ac3MgIr structure.

Cell: 10.1310 7.4689 10.9320 Å, 90.00 114.86 90.00°
Space group P2_1/c (No. 14)
One atom of each set of equivalent atoms:
Ac1 0.0792 0.0788 0.3597 x4
Ac2 0.2085 0.5783 0.5580 x4
Ac3 0.3627 0.0935 0.7594 x4
Mg1 0.4304 0.6663 0.9308 x4
Ir1 0.0764 0.2499 0.1084 x4

Output
Its relative energy among the computed polymorphs is 14 meV per atom.

***

6.
DFT (PBE) results for a geometry-optimized Sc3GeBi structure.

Cell: 5.0677 5.0677 5.0677 Å, 90.00 90.00 90.00°
Space group Pm-3m (No. 221)
One atom of each set of equivalent atoms:
Sc1 0.0000 0.0000 0.5000 x3
Ge1 0.0000 0.0000 0.0000 x1
Bi1 0.5000 0.5000 0.5000 x1

Output
Its relative energy among the computed polymorphs is 181 meV per atom.

***

Computed total moment (μB per formula unit) in order:
3.23, 0.97, 0.00, 0.40, 0.00, 0.00
Computed raw total energy (eV/atom) in order:
-8.85, -4.91, -3.85, -8.20, -4.88, -5.86